This record from Alexandria describes crystalline Mn2RuBr at its relaxed geometry. The functional is GGA-PBE.

Values from the calculation:
Energy above the most stable polymorph in this dataset (meV/atom): 603.2
Spin magnetization (μB per atom): 1.63
Energy relative to the elements, uncorrected (eV per atom): 0.8478
Total DFT energy (no corrections) (eV/cell): -51.8

Cell: 6.468 6.468 5.947 Å, 57.06 57.06 90.00°
Sites, in units of the cell vectors:
Mn (0.648, 0.125, 0.250)
Ru (0.750, 0.250, 0.500)
Mn (0.875, 0.898, 0.750)
Ru (0.000, 0.000, 0.000)
Mn (0.375, 0.352, 0.750)
Br (0.250, 0.750, 0.500)
Br (0.500, 0.500, 0.000)
Mn (0.102, 0.625, 0.250)

This record from Alexandria describes crystalline MnRuBr2 at its relaxed geometry. The functional is GGA-PBE.

Values from the calculation:
Energy above the most stable polymorph in this dataset (meV/atom): 901.9
Spin magnetization (μB per atom): 1.74
Energy relative to the elements, uncorrected (eV per atom): 0.9728
Total DFT energy (no corrections) (eV/cell): -17.9

Cell: 4.879 4.879 4.879 Å, 60.00 60.00 60.00°
Sites, in units of the cell vectors:
Mn (0.500, 0.500, 0.500)
Br (0.000, 0.000, 0.000)
Ru (0.750, 0.750, 0.750)
Br (0.250, 0.250, 0.250)

This record from Alexandria describes crystalline MnRuBr2 at its relaxed geometry. The functional is GGA-PBE.

Values from the calculation:
Energy above the most stable polymorph in this dataset (meV/atom): 197.1
Spin magnetization (μB per atom): 1.23
Energy relative to the elements, uncorrected (eV per atom): 0.2680
Total DFT energy (no corrections) (eV/cell): -20.7

Cell: 8.286 8.286 8.286 Å, 157.28 154.00 34.80°
Sites, in units of the cell vectors:
Mn (0.431, 0.431, 0.000)
Br (0.012, 0.012, 0.000)
Ru (0.301, 0.801, 0.500)
Br (0.756, 0.256, 0.500)

This record from Alexandria describes crystalline MnRuBr2 at its relaxed geometry. The functional is GGA-PBE.

Values from the calculation:
Energy above the most stable polymorph in this dataset (meV/atom): 566.0
Spin magnetization (μB per atom): 1.18
Energy relative to the elements, uncorrected (eV per atom): 0.6370
Total DFT energy (no corrections) (eV/cell): -19.2

Cell: 4.639 4.639 3.309 Å, 90.00 90.00 90.00°
Sites, in units of the cell vectors:
Br (0.000, 0.000, 0.000)
Br (0.500, 0.500, 0.000)
Ru (0.000, 0.500, 0.500)
Mn (0.500, 0.000, 0.500)

This record from Alexandria describes crystalline MnRuBr2 at its relaxed geometry. The functional is GGA-PBE.

Values from the calculation:
Energy above the most stable polymorph in this dataset (meV/atom): 606.3
Spin magnetization (μB per atom): 1.58
Energy relative to the elements, uncorrected (eV per atom): 0.6772
Total DFT energy (no corrections) (eV/cell): -19.1

Cell: 6.457 6.457 6.457 Å, 146.30 146.30 48.41°
Sites, in units of the cell vectors:
Mn (0.500, 0.500, 0.000)
Br (0.250, 0.750, 0.500)
Ru (0.750, 0.250, 0.500)
Br (0.000, 0.000, 0.000)

This record from Alexandria describes crystalline Mn2RuBr at its relaxed geometry. The functional is GGA-PBE.

Values from the calculation:
Energy above the most stable polymorph in this dataset (meV/atom): 414.6
Spin magnetization (μB per atom): 2.21
Energy relative to the elements, uncorrected (eV per atom): 0.6591
Total DFT energy (no corrections) (eV/cell): -26.7

Cell: 3.143 4.582 4.582 Å, 90.00 90.00 90.00°
Sites, in units of the cell vectors:
Mn (0.000, 0.500, 0.500)
Mn (0.000, 0.000, 0.000)
Ru (0.500, 0.500, 0.000)
Br (0.500, 0.000, 0.500)

This record from Alexandria describes crystalline Mn2RuBr at its relaxed geometry. The functional is GGA-PBE.

Values from the calculation:
Energy above the most stable polymorph in this dataset (meV/atom): 369.4
Spin magnetization (μB per atom): 1.94
Energy relative to the elements, uncorrected (eV per atom): 0.6140
Total DFT energy (no corrections) (eV/cell): -26.8

Cell: 4.656 4.656 3.049 Å, 90.04 90.04 106.55°
Sites, in units of the cell vectors:
Mn (0.000, 0.000, 0.000)
Mn (0.500, 0.500, 0.000)
Br (0.000, 0.500, 0.500)
Ru (0.500, 0.000, 0.500)

This record from Alexandria describes crystalline Mn2RuBr at its relaxed geometry. The functional is GGA-PBE.

Values from the calculation:
Energy above the most stable polymorph in this dataset (meV/atom): 139.5
Spin magnetization (μB per atom): 1.38
Energy relative to the elements, uncorrected (eV per atom): 0.3840
Total DFT energy (no corrections) (eV/cell): -27.8

Cell: 3.031 3.045 7.162 Å, 77.82 90.00 90.00°
Sites, in units of the cell vectors:
Ru (0.000, 0.719, 0.439)
Mn (0.000, 0.921, 0.031)
Mn (0.500, 0.307, 0.261)
Br (0.500, 0.553, 0.770)

This record from Alexandria describes crystalline MnRuBr2 at its relaxed geometry. The functional is GGA-PBE.

Values from the calculation:
Energy above the most stable polymorph in this dataset (meV/atom): 476.9
Spin magnetization (μB per atom): 0.49
Energy relative to the elements, uncorrected (eV per atom): 0.5478
Total DFT energy (no corrections) (eV/cell): -19.6

Cell: 8.117 8.117 8.117 Å, 23.87 23.87 23.87°
Sites, in units of the cell vectors:
Br (0.504, 0.504, 0.504)
Mn (0.250, 0.250, 0.250)
Ru (0.750, 0.750, 0.750)
Br (0.996, 0.996, 0.996)

This record from Alexandria describes crystalline MnRuBr2 at its relaxed geometry. The functional is GGA-PBE.

Values from the calculation:
Energy above the most stable polymorph in this dataset (meV/atom): 1004.2
Spin magnetization (μB per atom): 0.00
Energy relative to the elements, uncorrected (eV per atom): 1.0752
Total DFT energy (no corrections) (eV/cell): -17.5

Cell: 4.480 4.480 4.480 Å, 60.00 60.00 60.00°
Sites, in units of the cell vectors:
Mn (0.000, 0.000, 0.000)
Br (0.750, 0.750, 0.750)
Ru (0.500, 0.500, 0.500)
Br (0.250, 0.250, 0.250)

This record from Alexandria describes crystalline MnSb2RuBr at its relaxed geometry. The functional is GGA-PBE.

Values from the calculation:
Spin magnetization (μB per atom): 1.19
Energy relative to the elements, uncorrected (eV per atom): 1.5337
Total DFT energy (no corrections) (eV/cell): -20.7

Cell: 5.486 4.477 5.486 Å, 90.00 90.00 90.00°
Sites, in units of the cell vectors:
Mn (0.000, 0.500, 0.000)
Sb (0.000, 0.000, 0.500)
Br (0.000, 0.000, 0.000)
Sb (0.500, 0.000, 0.000)
Ru (0.500, 0.500, 0.500)

This record from Alexandria describes crystalline MnRuSe2Br at its relaxed geometry. The functional is GGA-PBE.

Values from the calculation:
Energy above the most stable polymorph in this dataset (meV/atom): 0.0
Spin magnetization (μB per atom): 0.83
Energy relative to the elements, uncorrected (eV per atom): 0.4740
Total DFT energy (no corrections) (eV/cell): -24.7

Cell: 4.847 4.847 5.167 Å, 90.00 90.00 90.00°
Sites, in units of the cell vectors:
Ru (0.000, 0.000, 0.000)
Mn (0.500, 0.500, 0.500)
Br (0.000, 0.000, 0.500)
Se (0.500, 0.000, 0.000)
Se (0.000, 0.500, 0.000)

This record from Alexandria describes crystalline SrMnRuBr2 at its relaxed geometry. The functional is GGA-PBE.

Values from the calculation:
Spin magnetization (μB per atom): 1.16
Energy relative to the elements, uncorrected (eV per atom): 0.4200
Total DFT energy (no corrections) (eV/cell): -21.4

Cell: 5.095 5.754 5.095 Å, 90.00 90.00 90.00°
Sites, in units of the cell vectors:
Ru (0.000, 0.000, 0.000)
Mn (0.500, 0.500, 0.500)
Sr (0.000, 0.500, 0.000)
Br (0.500, 0.000, 0.000)
Br (0.000, 0.000, 0.500)

This record from Alexandria describes crystalline MnTcRu2Br at its relaxed geometry. The functional is GGA-PBE.

Values from the calculation:
Spin magnetization (μB per atom): 0.13
Energy relative to the elements, uncorrected (eV per atom): 1.9976
Total DFT energy (no corrections) (eV/cell): -29.8

Cell: 4.482 4.513 4.482 Å, 90.00 90.00 90.00°
Sites, in units of the cell vectors:
Mn (0.500, 0.500, 0.500)
Br (0.000, 0.000, 0.000)
Tc (0.000, 0.500, 0.000)
Ru (0.500, 0.000, 0.000)
Ru (0.000, 0.000, 0.500)